Li5Cu6P8O28 | PBE-GGA | optimized geometry

Structure (POSCAR):
```
Li5Cu6P8O28
1.0
-2.8555 -0.3904 -5.5649
7.6872 0.0885 -3.4505
-1.7492 -10.0082 1.8707
Li O P Cu
5 28 8 6
Cartesian
3.0489 -4.1353 -7.6912 Li
4.2313 -1.2148 -2.4536 Li
0.0336 -6.1748 0.5465 Li
1.5412 -5.1550 -3.5724 Li
-1.1488 -9.0953 -4.6911 Li
4.2139 -1.7940 -4.3771 O
0.6272 -6.7623 -2.6934 O
-1.2150 -6.6643 -0.9825 O
4.2975 -3.6458 -6.1623 O
0.0700 -3.9169 -4.8041 O
-1.1314 -8.5160 -2.7676 O
3.0125 -6.3932 -2.3407 O
2.1413 -8.8149 -2.4224 O
0.7352 -9.9452 -4.6108 O
3.0399 -6.5516 -7.4191 O
2.0116 -8.5359 -6.3044 O
1.6023 -7.2771 -0.4092 O
-0.7670 -3.0029 -2.0590 O
-1.9652 -10.0435 -0.3364 O
0.9411 -1.4952 -4.7223 O
5.0477 -0.2666 -6.8083 O
1.0709 -1.7742 -0.8404 O
1.5853 -6.1855 -5.3694 O
2.4553 -3.5477 -4.4513 O
1.4802 -3.0329 -6.7356 O
-1.6326 -6.1066 -3.4804 O
2.3473 -0.3649 -2.5339 O
6.1824 -0.5797 -2.9985 O
3.8495 -7.3072 -5.0857 O
-3.0999 -9.7304 -4.1463 O
1.4971 -4.1246 -1.7754 O
0.0425 -3.7585 0.2744 O
4.7151 -4.2035 -3.6643 O
4.0594 -3.3105 -4.6860 P
1.1614 -0.3329 -1.5494 P
1.1850 -2.9020 -5.2550 P
2.6646 -7.0662 -6.0174 P
1.9211 -9.9771 -5.5953 P
1.8975 -7.4081 -1.8897 P
0.4179 -3.2439 -1.1273 P
-0.9769 -6.9996 -2.4587 P
-1.6266 -3.8409 -3.6363 Cu
2.4158 -0.1509 -4.5077 Cu
5.7419 -0.6791 -4.9279 Cu
-2.6594 -9.6310 -2.2168 Cu
2.9690 -4.9598 -0.7899 Cu
4.7091 -6.4692 -3.5084 Cu
```

For the electronic total energy, the calculation gives -302.49 eV for the cell shown. The value obtained for the volume is 528.67 Å³/f.u.

=====

PrTl3Sb2Te6 | PBE-GGA | optimized geometry

Structure (POSCAR):
```
PrTl3Sb2Te6
1.0
-5.2988 -4.4332 3.7616
1.6031 -1.3824 -7.5762
7.0274 -3.1608 3.4274
Pr Te Sb Tl
1 6 2 3
Cartesian
0.0000 0.0000 0.0000 Pr
-0.5569 -2.6375 1.7583 Te
3.8886 -6.3389 -2.1455 Te
-1.1883 -4.9050 -2.0432 Te
4.5200 -4.0714 1.6560 Te
1.8115 -1.5906 -2.1323 Te
1.5202 -7.3858 1.7450 Te
-2.9972 -3.4158 -0.0193 Sb
-0.6985 -2.3997 -3.7954 Sb
3.9973 -3.4576 -4.0236 Tl
-0.6656 -5.5188 3.6364 Tl
1.6658 -4.4882 -0.1936 Tl
```

For the electronic total energy, the calculation gives -44.99 eV for the cell shown. The value obtained for the volume is 429.86 Å³/f.u.

=====

ZnSiBr3 | PBE-GGA | optimized geometry

Structure (POSCAR):
```
ZnSiBr3
1.0
5.2130 0.0000 0.0000
0.0000 5.2130 0.0000
0.0000 0.0000 5.2130
Br Zn Si
3 1 1
Cartesian
0.0000 0.0000 2.6065 Br
0.0000 2.6065 0.0000 Br
2.6065 0.0000 0.0000 Br
2.6065 2.6065 2.6065 Zn
0.0000 0.0000 0.0000 Si
```

Its offset from the most stable computed form is 0.000 eV/f.u. The value obtained for the volume is 141.67 Å³/f.u.

=====

SrZr2Cr | PBE-GGA | optimized geometry

Structure (POSCAR):
```
SrZr2Cr
1.0
-1.9529 4.8388 -0.7281
-3.9747 2.7279 -2.1257
-3.8240 0.0766 5.4164
Zr Cr Sr
2 1 1
Cartesian
-3.5923 0.1617 4.9526 Zr
-7.3022 5.7791 1.8351 Zr
-5.1451 3.7752 1.7412 Cr
-2.4117 1.8256 0.7315 Sr
```

Its offset from the most stable computed form is 1.023 eV/f.u. The value obtained for the volume is 106.96 Å³/f.u.

=====

Li2AgGe | PBE-GGA | optimized geometry

Structure (POSCAR):
```
Li2AgGe
1.0
-2.1617 -1.5985 1.5704
2.1523 -2.0886 0.8367
1.2740 3.4029 5.2175
Ge Li Ag
1 2 1
Cartesian
0.6323 -0.1421 3.8123 Ge
0.3314 0.8853 1.3573 Li
0.9426 2.5176 3.8601 Li
-0.0047 -1.8436 1.2035 Ag
```

For the electronic total energy, the calculation gives -12.24 eV for the cell shown. The value obtained for the volume is 61.64 Å³/f.u.

=====

Pm2PrNd2Ho | PBE-GGA | optimized geometry

Structure (POSCAR):
```
Pm2PrNd2Ho
1.0
5.7762 0.0000 0.0000
0.0000 7.1040 0.0000
0.0000 0.0000 10.0043
Pm Ho Nd Pr
4 2 4 2
Cartesian
0.0000 5.3797 1.6406 Pm
0.0000 1.8277 8.3637 Pm
2.8881 5.3841 6.7009 Pm
2.8881 1.8321 3.3035 Pm
2.8881 1.8313 6.6459 Ho
2.8881 5.3833 3.3584 Ho
2.8881 3.6048 10.0024 Nd
0.0000 1.8294 1.6992 Nd
2.8881 0.0528 0.0019 Nd
0.0000 5.3814 8.3051 Nd
0.0000 0.0548 5.0008 Pr
0.0000 3.6068 5.0035 Pr
```

For the electronic total energy, the calculation gives -56.12 eV for the cell shown. The value obtained for the volume is 205.26 Å³/f.u.